Entry 1:
An optimized crystal structure of LaCuSn, computed with PBE-GGA.

CIF file:
```
data_LaCuSn
_chemical_formula_sum 'La1 Cu1 Sn1'
_space_group_name_H-M_alt 'P -6 m 2'
_space_group_IT_number 187
_space_group_name_Hall 'P -6 2'
_cell_length_a 4.5945
_cell_length_b 4.5945
_cell_length_c 4.1232
_cell_angle_alpha 90.00
_cell_angle_beta 90.00
_cell_angle_gamma 120.00
loop_
_atom_site_label
_atom_site_fract_x
_atom_site_fract_y
_atom_site_fract_z
La1 0.0000 0.0000 0.0000
Cu1 0.3333 0.6667 0.5000
Sn1 0.6667 0.3333 0.5000
```

Values from the calculation:
The total energy is -4.906 eV/atom. The value obtained for the energy relative to the elements is -0.56 eV/atom.

Entry 2:
An optimized crystal structure of TaFe2BRu, computed with PBE-GGA.

CIF file:
```
data_TaFe2BRu
_chemical_formula_sum 'Ta1 Fe2 B1 Ru1'
_space_group_name_H-M_alt 'P 4/m m m'
_space_group_IT_number 123
_space_group_name_Hall '-P 4 2'
_cell_length_a 3.859
_cell_length_b 3.859
_cell_length_c 4.010
_cell_angle_alpha 90.00
_cell_angle_beta 90.00
_cell_angle_gamma 90.00
loop_
_atom_site_label
_atom_site_fract_x
_atom_site_fract_y
_atom_site_fract_z
Ta1 0.000 0.000 0.000
Fe1 0.000 0.500 0.500
B1 0.500 0.500 0.500
Ru1 0.500 0.500 0.000
```

Values from the calculation:
The total energy is -9.160 eV/atom. The value obtained for the energy relative to the elements is -0.21 eV/atom.

Entry 3:
An optimized crystal structure of CaCePm2, computed with PBE-GGA.

CIF file:
```
data_CaCePm2
_chemical_formula_sum 'Ca3 Ce3 Pm6'
_space_group_name_H-M_alt 'R -3 m'
_space_group_IT_number 166
_space_group_name_Hall '-R 3 2"'
_cell_length_a 4.1601
_cell_length_b 4.1601
_cell_length_c 30.0966
_cell_angle_alpha 90.00
_cell_angle_beta 90.00
_cell_angle_gamma 120.00
loop_
_atom_site_label
_atom_site_fract_x
_atom_site_fract_y
_atom_site_fract_z
Ca1 0.0000 0.0000 0.0000
Ce1 0.0000 0.0000 0.5000
Pm1 0.0000 0.0000 0.1143
```

Values from the calculation:
The calculation puts the energy above the most stable polymorph in this dataset at 0.691 eV per atom. The total energy is -3.591 eV/atom. The value obtained for the energy relative to the elements is 0.77 eV/atom.

Question: energy relative to the elements of number 3 (CaCePm2)?
Answer: 0.77 eV/atom